Here is crystalline LiDyErTm at its relaxed geometry from the Alexandria database. Energies are from PBE-GGA.

Unit cell a=5.4190 b=5.4190 c=5.4190 alpha=60.00 beta=60.00 gamma=60.00
Atoms (fractional coordinates):
1 Er 0.0000 0.0000 0.0000
2 Dy 0.5000 0.5000 0.5000
3 Li 0.2500 0.2500 0.2500
4 Tm 0.7500 0.7500 0.7500

Values from the calculation:
VASP energy ... -3.72 eV/atom
SG ... F-43m, No. 216
Total moment ... 0.00 μB per atom

---

Here is crystalline CoH2Cl8 at its relaxed geometry from the Alexandria database. Energies are from PBE-GGA.

Unit cell a=5.1060 b=8.3732 c=8.3729 alpha=76.24 beta=88.78 gamma=88.78
Atoms (fractional coordinates):
1 Cl 0.5496 0.6353 0.6353
2 Cl 0.2509 0.1817 0.8247
3 Cl 0.7491 0.1753 0.8183
4 Cl 0.9681 0.1664 0.1664
5 Cl 0.7491 0.8183 0.1753
6 H 0.7001 0.7132 0.7132
7 Cl 0.0319 0.8336 0.8336
8 Co 0.0000 0.0000 0.0000
9 Cl 0.2509 0.8247 0.1817
10 H 0.2999 0.2868 0.2868
11 Cl 0.4504 0.3647 0.3647

Values from the calculation:
VASP energy ... -2.85 eV/atom
SG ... C2/m, No. 12
Total moment ... 0.09 μB per atom

---

Here is crystalline Tl2TcAg at its relaxed geometry from the Alexandria database. Energies are from PBE-GGA.

Unit cell a=5.7018 b=5.7018 c=5.7018 alpha=138.03 beta=138.03 gamma=60.86
Atoms (fractional coordinates):
1 Tl 0.2500 0.7500 0.5000
2 Tl 0.0000 0.0000 0.0000
3 Tc 0.7500 0.2500 0.5000
4 Ag 0.5000 0.5000 0.0000

Values from the calculation:
VASP energy ... -3.87 eV/atom
Energy above the lowest structure with this stoichiometry ... 89 meV/atom
SG ... I-4m2, No. 119
Total moment ... 0.35 μB per atom

---

Here is crystalline CaTh2Te6 at its relaxed geometry from the Alexandria database. Energies are from PBE-GGA.

Unit cell a=7.4325 b=7.4325 c=13.8237 alpha=90.00 beta=90.00 gamma=90.00
Atoms (fractional coordinates):
1 Ca 0.0000 0.0000 0.0000
2 Th 0.5000 0.5000 0.1659
3 Te 0.2948 0.2948 0.6709
4 Te 0.2052 0.7948 0.1709
5 Te 0.7948 0.2052 0.8291
6 Te 0.7001 0.7001 0.0000
7 Te 0.7999 0.2001 0.5000
8 Th 0.5000 0.5000 0.8341
9 Ca 0.5000 0.5000 0.5000
10 Te 0.2001 0.7999 0.5000
11 Te 0.2999 0.2999 0.0000
12 Te 0.2948 0.2948 0.3291
13 Th 0.0000 0.0000 0.6659
14 Te 0.7052 0.7052 0.3291
15 Te 0.7948 0.2052 0.1709
16 Th 0.0000 0.0000 0.3341
17 Te 0.2052 0.7948 0.8291
18 Te 0.7052 0.7052 0.6709

Values from the calculation:
VASP energy ... -4.87 eV/atom
SG ... P4_2/mnm, No. 136
Total moment ... 0.00 μB per atom

---

Here is crystalline Mg2AgAu4 at its relaxed geometry from the Alexandria database. Energies are from PBE-GGA.

Unit cell a=5.0888 b=5.0888 c=7.6997 alpha=70.70 beta=70.70 gamma=90.00
Atoms (fractional coordinates):
1 Mg 0.6123 0.6123 0.7754
2 Au 0.0000 0.5000 0.0000
3 Ag 0.0000 0.0000 0.0000
4 Au 0.5000 0.0000 0.0000
5 Au 0.2000 0.2000 0.6001
6 Au 0.8000 0.8000 0.3999
7 Mg 0.3877 0.3877 0.2246

Values from the calculation:
VASP energy ... -2.55 eV/atom
Energy above the lowest structure with this stoichiometry ... 456 meV/atom
SG ... I4/mmm, No. 139
Total moment ... 0.00 μB per atom

---

Here is crystalline Zr2As2I at its relaxed geometry from the Alexandria database. Energies are from PBE-GGA.

Unit cell a=7.8439 b=7.8439 c=3.5702 alpha=90.00 beta=90.00 gamma=90.00
Atoms (fractional coordinates):
1 As 0.8642 0.3642 0.5000
2 Zr 0.3535 0.8535 0.0000
3 Zr 0.1465 0.3535 0.0000
4 As 0.6358 0.8642 0.5000
5 Zr 0.8535 0.6465 0.0000
6 Zr 0.6465 0.1465 0.0000
7 I 0.5000 0.5000 0.0000
8 As 0.1358 0.6358 0.5000
9 As 0.3642 0.1358 0.5000
10 I 0.0000 0.0000 0.0000

Values from the calculation:
VASP energy ... -6.37 eV/atom
SG ... P4/mbm, No. 127
Total moment ... 0.00 μB per atom

---

Here is crystalline Pm2Pr4DyEr2 at its relaxed geometry from the Alexandria database. Energies are from PBE-GGA.

Unit cell a=5.1548 b=8.1526 c=8.0987 alpha=107.61 beta=90.00 gamma=108.43
Atoms (fractional coordinates):
1 Er 0.6672 0.3344 0.9997
2 Pr 0.7778 0.5557 0.6704
3 Dy 0.0000 0.0000 0.0000
4 Er 0.3328 0.6656 0.0003
5 Pr 0.2222 0.4443 0.3296
6 Pm 0.1117 0.2233 0.6705
7 Pr 0.4457 0.8913 0.6703
8 Pm 0.8883 0.7767 0.3295
9 Pr 0.5543 0.1087 0.3297

Values from the calculation:
VASP energy ... -4.68 eV/atom
SG ... C2/m, No. 12
Total moment ... 0.00 μB per atom

---

Here is crystalline K3MoRh at its relaxed geometry from the Alexandria database. Energies are from PBE-GGA.

Unit cell a=6.0297 b=6.0297 c=6.0297 alpha=90.00 beta=90.00 gamma=90.00
Atoms (fractional coordinates):
1 K 0.0000 0.0000 0.5000
2 Rh 0.0000 0.0000 0.0000
3 K 0.0000 0.5000 0.0000
4 Mo 0.5000 0.5000 0.5000
5 K 0.5000 0.0000 0.0000

Values from the calculation:
VASP energy ... -2.84 eV/atom
Energy above the lowest structure with this stoichiometry ... 0 meV/atom
SG ... Pm-3m, No. 221
Total moment ... 1.19 μB per atom

---

Here is crystalline Li4Pm3ThSe8 at its relaxed geometry from the Alexandria database. Energies are from PBE-GGA.

Unit cell a=8.3104 b=8.1164 c=8.3081 alpha=120.82 beta=120.01 gamma=90.00
Atoms (fractional coordinates):
1 Se 0.2531 0.7622 0.0096
2 Li 0.5000 0.0000 0.0000
3 Se 0.7539 0.7614 0.5079
4 Th 0.0000 0.5000 0.0000
5 Pm 0.5000 0.5000 0.5000
6 Li 0.0000 0.0000 0.0000
7 Li 0.0000 0.0000 0.5000
8 Pm 0.0000 0.5000 0.5000
9 Se 0.7469 0.2377 0.4939
10 Se 0.2434 0.2378 0.9904
11 Se 0.7469 0.2378 0.9904
12 Se 0.2531 0.7623 0.5061
13 Pm 0.5000 0.5000 0.0000
14 Li 0.5000 0.0000 0.5000
15 Se 0.2461 0.2386 0.4921
16 Se 0.7566 0.7622 0.0096

Values from the calculation:
VASP energy ... -5.20 eV/atom
SG ... R-3m, No. 166
Total moment ... 0.00 μB per atom

---

Here is crystalline CeTmTc4 at its relaxed geometry from the Alexandria database. Energies are from PBE-GGA.

Unit cell a=5.4061 b=5.4061 c=5.4061 alpha=60.00 beta=60.00 gamma=60.00
Atoms (fractional coordinates):
1 Tc 0.1243 0.6252 0.6252
2 Tc 0.6252 0.6252 0.6252
3 Tc 0.6252 0.6252 0.1243
4 Ce 0.2500 0.2500 0.2500
5 Tm 0.0000 0.0000 0.0000
6 Tc 0.6252 0.1243 0.6252

Values from the calculation:
VASP energy ... -8.74 eV/atom
SG ... F-43m, No. 216
Total moment ... 0.00 μB per atom

---

Here is crystalline CoNi2Ge at its relaxed geometry from the Alexandria database. Energies are from PBE-GGA.

Unit cell a=3.4521 b=3.4521 c=8.7840 alpha=78.67 beta=78.67 gamma=90.00
Atoms (fractional coordinates):
1 Ge 0.0000 0.0000 0.0000
2 Co 0.5000 0.5000 0.0000
3 Ni 0.8750 0.8727 0.7500
4 Ni 0.6227 0.1250 0.2500
5 Ni 0.1273 0.6250 0.2500
6 Ni 0.3750 0.3773 0.7500
7 Co 0.2500 0.7500 0.5000
8 Ge 0.7500 0.2500 0.5000

Values from the calculation:
VASP energy ... -5.63 eV/atom
SG ... I-42d, No. 122
Total moment ... 0.32 μB per atom

---

Here is crystalline NaNb2Cu at its relaxed geometry from the Alexandria database. Energies are from PBE-GGA.

Unit cell a=4.5748 b=4.5748 c=4.5748 alpha=60.00 beta=60.00 gamma=60.00
Atoms (fractional coordinates):
1 Na 0.0000 0.0000 0.0000
2 Nb 0.2500 0.2500 0.2500
3 Nb 0.7500 0.7500 0.7500
4 Cu 0.5000 0.5000 0.5000

Values from the calculation:
VASP energy ... -5.54 eV/atom
Energy above the lowest structure with this stoichiometry ... 0 meV/atom
SG ... Fm-3m, No. 225
Total moment ... 0.00 μB per atom

---

Here is crystalline Ta2ZnW at its relaxed geometry from the Alexandria database. Energies are from PBE-GGA.

Unit cell a=2.7584 b=4.3273 c=5.7102 alpha=90.00 beta=90.00 gamma=90.00
Atoms (fractional coordinates):
1 W 0.0000 0.0000 0.5000
2 Zn 0.5000 0.5000 0.7498
3 Ta 0.0000 0.0000 0.9931
4 Ta 0.5000 0.5000 0.2572

Values from the calculation:
VASP energy ... -9.24 eV/atom
SG ... Pmm2, No. 25
Total moment ... 0.00 μB per atom

---

Here is crystalline CuAsRu2 at its relaxed geometry from the Alexandria database. Energies are from PBE-GGA.

Unit cell a=5.1595 b=5.1595 c=5.1595 alpha=146.52 beta=132.01 gamma=59.78
Atoms (fractional coordinates):
1 Cu 0.2728 0.7728 0.5000
2 Ru 0.7279 0.2279 0.5000
3 Ru 0.9927 0.9927 0.0000
4 As 0.5066 0.5066 0.0000

Values from the calculation:
VASP energy ... -6.61 eV/atom
SG ... Imm2, No. 44
Total moment ... 0.00 μB per atom

---

Here is crystalline Nb2ZnCu at its relaxed geometry from the Alexandria database. Energies are from PBE-GGA.

Unit cell a=2.8174 b=2.8174 c=7.9188 alpha=90.00 beta=90.00 gamma=90.00
Atoms (fractional coordinates):
1 Zn 0.5000 0.5000 0.5000
2 Nb 0.0000 0.0000 0.7542
3 Cu 0.5000 0.5000 0.0000
4 Nb 0.0000 0.0000 0.2458

Values from the calculation:
VASP energy ... -6.38 eV/atom
SG ... P4/mmm, No. 123
Total moment ... 0.00 μB per atom

---

Here is crystalline TbPmNd2Dy6 at its relaxed geometry from the Alexandria database. Energies are from PBE-GGA.

Unit cell a=9.7896 b=8.7933 c=8.7933 alpha=118.09 beta=94.84 gamma=94.84
Atoms (fractional coordinates):
1 Pm 0.7500 0.5947 0.4053
2 Dy 0.0569 0.1229 0.7431
3 Dy 0.6857 0.0263 0.5780
4 Dy 0.9431 0.8771 0.2569
5 Dy 0.5569 0.7431 0.1229
6 Nd 0.4586 0.8104 0.7079
7 Pm 0.2500 0.4053 0.5947
8 Nd 0.9586 0.7079 0.8104
9 Dy 0.4431 0.2569 0.8771
10 Dy 0.3143 0.9737 0.4220
11 Dy 0.1857 0.5780 0.0263
12 Dy 0.3794 0.5026 0.2935
13 Dy 0.6206 0.4974 0.7065
14 Nd 0.5414 0.1896 0.2921
15 Dy 0.8143 0.4220 0.9737
16 Tb 0.2500 0.9826 0.0174
17 Tb 0.7500 0.0174 0.9826
18 Dy 0.8794 0.2935 0.5026
19 Dy 0.1206 0.7065 0.4974
20 Nd 0.0414 0.2921 0.1896

Values from the calculation:
VASP energy ... -4.53 eV/atom
SG ... C2/c, No. 15
Total moment ... 0.00 μB per atom

---

Here is crystalline BeFe2Co at its relaxed geometry from the Alexandria database. Energies are from PBE-GGA.

Unit cell a=2.4849 b=2.4849 c=6.5742 alpha=90.00 beta=90.00 gamma=90.00
Atoms (fractional coordinates):
1 Be 0.5000 0.5000 0.2500
2 Co 0.5000 0.5000 0.7500
3 Fe 0.0000 0.0000 0.4837
4 Fe 0.0000 0.0000 0.0163

Values from the calculation:
VASP energy ... -7.00 eV/atom
SG ... P4/mmm, No. 123
Total moment ... 1.27 μB per atom

---

Here is crystalline Ca2ZnAs4Rh3 at its relaxed geometry from the Alexandria database. Energies are from PBE-GGA.

Unit cell a=4.2489 b=4.2489 c=10.3904 alpha=90.00 beta=90.00 gamma=90.00
Atoms (fractional coordinates):
1 Ca 0.0000 0.5000 0.7523
2 Rh 0.0000 0.5000 0.1230
3 Rh 0.5000 0.0000 0.8770
4 As 0.0000 0.0000 0.0000
5 Zn 0.5000 0.5000 0.5000
6 As 0.5000 0.0000 0.6418
7 As 0.5000 0.5000 0.0000
8 As 0.0000 0.5000 0.3582
9 Ca 0.5000 0.0000 0.2477
10 Rh 0.0000 0.0000 0.5000

Values from the calculation:
VASP energy ... -5.27 eV/atom
SG ... P-4m2, No. 115
Total moment ... 0.00 μB per atom

---

Here is crystalline KNa2HgPd at its relaxed geometry from the Alexandria database. Energies are from PBE-GGA.

Unit cell a=5.8831 b=5.8072 c=5.8831 alpha=90.00 beta=90.00 gamma=90.00
Atoms (fractional coordinates):
1 Hg 0.0000 0.5000 0.0000
2 Na 0.5000 0.0000 0.0000
3 Na 0.0000 0.0000 0.5000
4 Pd 0.5000 0.5000 0.5000
5 K 0.0000 0.0000 0.0000

Values from the calculation:
VASP energy ... -1.09 eV/atom
Energy above the lowest structure with this stoichiometry ... 876 meV/atom
SG ... P4/mmm, No. 123
Total moment ... 0.00 μB per atom